## Li2MgOs (PBEsol)

Data for an optimized crystal structure of Li2MgOs.

abc: 9.1469 2.5888 5.0810
angles: 90.00 96.93 90.00
With the nearest neighbours (Å) after each atom.
Space group Cm (No. 8)
Symmetry-distinct sites (fractional):
Li: 0.0000 0.0000 0.0000 [2 per cell]  5 Li 2.59-2.80, 2 Mg 2.69, 3 Os 2.76
Li: 0.2484 0.0000 0.7539 [2 per cell]  5 Li 2.59-2.80, 4 Os 2.81-2.89, 1 Mg 2.83
Mg: 0.4941 0.0000 0.4636 [2 per cell]  2 Mg 2.59, 3 Os 2.68-2.73, 3 Li 2.69-2.83
Os: 0.2462 0.5000 0.2451 [2 per cell]  2 Os 2.59, 3 Mg 2.68-2.73, 7 Li 2.76-2.89

Computed properties:
Magnetic moment: 0.00 μB per formula unit
VASP energy: -4.215 eV/atom
Calculated density: 6.35 g/cm³